Record 1
Below is a relaxed Y4Pd2O crystal, with properties calculated at the PBE-GGA level.

Cell lengths 4.653, 4.653, 7.982 Å; angles 73.05, 73.05, 90.00 degrees
Atoms (fractional coordinates):
1 Y 0.183 0.183 0.634
2 Y 0.817 0.817 0.366
3 Y 0.500 0.000 0.000
4 Y 0.000 0.500 0.000
5 Pd 0.372 0.372 0.257
6 Pd 0.628 0.628 0.743
7 O 0.000 0.000 0.000

ΔE_f (raw): -122.55 kJ per mole of atoms
E above lowest polymorph: 45 meV/atom
Space-group type: I4/mmm (139)

***

Record 2
Below is a relaxed TiCd2CoOs crystal, with properties calculated at the PBE-GGA level.

Cell lengths 4.766, 4.158, 4.766 Å; angles 90.00, 90.00, 90.00 degrees
Atoms (fractional coordinates):
1 Os 0.500 0.500 0.500
2 Ti 0.000 0.500 0.000
3 Cd 0.000 0.000 0.500
4 Cd 0.500 0.000 0.000
5 Co 0.000 0.000 0.000

E_form: 1056 meV/atom
Space-group type: P4/mmm (123)

***

Record-wise uncorrected energy values, in eV/atom: -7.16, -4.56
Record-wise theoretical density values, in g/cm³: 6.16, 9.18